(1)
HfMgSc2S6: optimized geometry, PBE-GGA.

a b c (Å): 6.959 6.959 6.959
angles (deg): 55.25 55.25 55.25
Element x y z (fractional)
Hf 0.000 0.000 0.000
Mg 0.493 0.493 0.493
Sc 0.191 0.191 0.191
Sc 0.688 0.688 0.688
S 0.087 0.791 0.404
S 0.276 0.604 0.903
S 0.404 0.087 0.791
S 0.604 0.903 0.276
S 0.791 0.404 0.087
S 0.903 0.276 0.604

Formation energy (no corrections) (meV/atom): -1671
VASP energy (eV for the cell shown): -65.7

---

(2)
Zn9NiAg2: optimized geometry, PBE-GGA.

a b c (Å): 4.396 6.741 6.751
angles (deg): 83.30 71.22 88.65
Element x y z (fractional)
Zn 0.000 0.000 0.000
Zn 0.081 0.174 0.394
Zn 0.093 0.587 0.298
Zn 0.338 0.732 0.790
Zn 0.471 0.130 0.644
Zn 0.529 0.870 0.356
Zn 0.662 0.268 0.210
Zn 0.907 0.413 0.702
Zn 0.919 0.826 0.606
Ni 0.500 0.500 0.500
Ag 0.285 0.352 0.962
Ag 0.715 0.648 0.038

VASP energy (eV for the cell shown): -23.1

---

(3)
ReGe2Rh2: optimized geometry, PBE-GGA.

a b c (Å): 7.323 7.323 2.777
angles (deg): 90.00 90.00 90.00
Element x y z (fractional)
Re 0.000 0.000 0.000
Re 0.500 0.500 0.000
Ge 0.164 0.336 0.500
Ge 0.336 0.836 0.500
Ge 0.664 0.164 0.500
Ge 0.836 0.664 0.500
Rh 0.136 0.636 0.000
Rh 0.364 0.136 0.000
Rh 0.636 0.864 0.000
Rh 0.864 0.364 0.000

VASP energy (eV for the cell shown): -71.6
Offset from the most stable computed form (kcal/mol of atoms): 4.188

---

(4)
ErP2Pd2: optimized geometry, PBE-GGA.

a b c (Å): 5.790 5.785 5.712
angles (deg): 90.00 120.41 90.00
Element x y z (fractional)
Er 0.000 0.000 0.000
Er 0.500 0.500 0.000
P 0.112 0.500 0.222
P 0.388 0.000 0.778
P 0.612 0.000 0.222
P 0.888 0.500 0.778
Pd 0.000 0.250 0.500
Pd 0.000 0.750 0.500
Pd 0.500 0.250 0.500
Pd 0.500 0.750 0.500

VASP energy (eV for the cell shown): -60.5

---

(5)
Fe2Co: optimized geometry, PBE-GGA.

a b c (Å): 2.407 3.838 16.656
angles (deg): 90.00 90.00 90.00
Element x y z (fractional)
Fe 0.000 0.250 0.040
Fe 0.000 0.250 0.185
Fe 0.000 0.750 0.815
Fe 0.000 0.750 0.960
Fe 0.500 0.250 0.315
Fe 0.500 0.250 0.460
Fe 0.500 0.750 0.540
Fe 0.500 0.750 0.685
Co 0.000 0.250 0.611
Co 0.000 0.750 0.389
Co 0.500 0.250 0.889
Co 0.500 0.750 0.111

VASP energy (eV for the cell shown): -91.4

---

(6)
Er2SnB2Rh5: optimized geometry, PBE-GGA.

a b c (Å): 9.536 9.536 3.274
angles (deg): 90.00 90.00 90.00
Element x y z (fractional)
Er 0.175 0.325 0.000
Er 0.325 0.825 0.000
Er 0.675 0.175 0.000
Er 0.825 0.675 0.000
Sn 0.000 0.000 0.000
Sn 0.500 0.500 0.000
B 0.121 0.621 0.000
B 0.379 0.121 0.000
B 0.621 0.879 0.000
B 0.879 0.379 0.000
Rh 0.000 0.500 0.500
Rh 0.071 0.775 0.500
Rh 0.225 0.071 0.500
Rh 0.275 0.571 0.500
Rh 0.429 0.275 0.500
Rh 0.500 0.000 0.500
Rh 0.571 0.725 0.500
Rh 0.725 0.429 0.500
Rh 0.775 0.929 0.500
Rh 0.929 0.225 0.500

VASP energy (eV for the cell shown): -143.5

---

(7)
Pr4TlBi5: optimized geometry, PBE-GGA.

a b c (Å): 8.903 8.903 8.903
angles (deg): 150.43 98.43 89.06
Element x y z (fractional)
Pr 0.208 0.500 0.708
Pr 0.246 0.246 0.000
Pr 0.754 0.754 0.000
Pr 0.792 0.500 0.292
Tl 0.500 0.500 0.000
Bi 0.000 0.000 0.000
Bi 0.158 0.835 0.323
Bi 0.487 0.165 0.323
Bi 0.513 0.835 0.677
Bi 0.842 0.165 0.677

VASP energy (eV for the cell shown): -47.6

---

(8)
LaNi2W: optimized geometry, PBE-GGA.

a b c (Å): 4.314 4.314 7.350
angles (deg): 90.00 90.00 90.00
Element x y z (fractional)
La 0.000 0.000 0.000
La 0.500 0.500 0.500
Ni 0.000 0.500 0.250
Ni 0.000 0.500 0.750
Ni 0.500 0.000 0.250
Ni 0.500 0.000 0.750
W 0.000 0.000 0.500
W 0.500 0.500 0.000

VASP energy (eV for the cell shown): -55.0
Offset from the most stable computed form (kcal/mol of atoms): 11.690